Cu4PSe6 GGA-PBE optimized geometry; space-group type = No. 9; raw total energy = -3.9303 eV/atom
1.0
6.117 -3.335 0.000
6.117 3.335 0.000
-3.970 0.000 11.431
Cu P Se
8 2 12
Direct
0.089 0.911 0.500 Cu
0.229 0.464 0.996 Cu
0.464 0.229 0.496 Cu
0.493 0.798 0.864 Cu
0.737 0.972 0.201 Cu
0.798 0.493 0.364 Cu
0.911 0.089 0.000 Cu
0.972 0.737 0.701 Cu
0.294 0.866 0.251 P
0.866 0.294 0.751 P
0.054 0.219 0.206 Se
0.090 0.571 0.509 Se
0.151 0.629 0.199 Se
0.191 0.738 0.895 Se
0.219 0.054 0.706 Se
0.425 0.876 0.445 Se
0.571 0.090 0.009 Se
0.625 0.693 0.185 Se
0.629 0.151 0.699 Se
0.693 0.625 0.685 Se
0.738 0.191 0.395 Se
0.876 0.425 0.945 Se